The following is a DFT calculation (PBE) of a relaxed Nd2SmSi2 crystal.

a b c (Å): 7.724 7.724 4.361
angles (deg): 90.00 90.00 90.00
Positions (direct):
Nd: 0.177 0.323 0.000
Nd: 0.323 0.823 0.000
Nd: 0.677 0.177 0.000
Nd: 0.823 0.677 0.000
Sm: 0.000 0.000 0.500
Sm: 0.500 0.500 0.500
Si: 0.112 0.612 0.500
Si: 0.388 0.112 0.500
Si: 0.612 0.888 0.500
Si: 0.888 0.388 0.500

Summary:
As for the total energy: -5.67 eV/atom. As for the crystal system: tetragonal.

***

The following is a DFT calculation (PBE) of a relaxed GdPbNO crystal.

a b c (Å): 5.802 8.411 5.754
angles (deg): 90.00 90.00 90.00
Positions (direct):
Gd: 0.005 0.122 0.000
Gd: 0.495 0.122 0.500
Gd: 0.505 0.878 0.000
Gd: 0.995 0.878 0.500
Pb: 0.020 0.630 0.999
Pb: 0.480 0.630 0.499
Pb: 0.520 0.370 0.999
Pb: 0.980 0.370 0.499
N: 0.085 0.619 0.591
N: 0.415 0.619 0.091
N: 0.585 0.381 0.591
N: 0.915 0.381 0.091
O: 0.247 0.994 0.247
O: 0.253 0.994 0.747
O: 0.747 0.006 0.247
O: 0.753 0.006 0.747

Summary:
As for the crystal system: orthorhombic. As for the offset from the most stable computed form: 0.0000 eV per atom.

***

The following is a DFT calculation (PBE) of a relaxed TaBIr2 crystal.

a b c (Å): 6.081 6.081 6.081
angles (deg): 90.00 90.00 90.00
Positions (direct):
Ta: 0.000 0.000 0.000
Ta: 0.000 0.500 0.500
Ta: 0.500 0.000 0.500
Ta: 0.500 0.500 0.000
B: 0.250 0.250 0.750
B: 0.250 0.750 0.250
B: 0.750 0.250 0.250
B: 0.750 0.750 0.750
Ir: 0.000 0.000 0.500
Ir: 0.000 0.500 0.000
Ir: 0.250 0.250 0.250
Ir: 0.250 0.750 0.750
Ir: 0.500 0.000 0.000
Ir: 0.500 0.500 0.500
Ir: 0.750 0.250 0.750
Ir: 0.750 0.750 0.250

Summary:
As for the total energy: -8.67 eV/atom. As for the crystal system: cubic.

***

The following is a DFT calculation (PBE) of a relaxed Pm2Cl3 crystal.

a b c (Å): 8.136 8.136 10.530
angles (deg): 117.58 117.58 28.46
Positions (direct):
Pm: 0.090 0.090 0.449
Pm: 0.360 0.360 0.207
Pm: 0.640 0.640 0.793
Pm: 0.910 0.910 0.551
Cl: 0.159 0.159 0.006
Cl: 0.272 0.272 0.382
Cl: 0.456 0.456 0.763
Cl: 0.544 0.544 0.237
Cl: 0.728 0.728 0.618
Cl: 0.841 0.841 0.994

Summary:
As for the total energy: -4.86 eV/atom. As for the crystal system: monoclinic.

***

The following is a DFT calculation (PBE) of a relaxed YMgAg2 crystal.

a b c (Å): 4.948 4.948 8.326
angles (deg): 90.00 90.00 120.00
Positions (direct):
Y: 0.000 0.000 0.000
Y: 0.000 0.000 0.500
Mg: 0.333 0.667 0.250
Mg: 0.667 0.333 0.750
Ag: 0.333 0.667 0.588
Ag: 0.333 0.667 0.912
Ag: 0.667 0.333 0.088
Ag: 0.667 0.333 0.412

Summary:
As for the total energy: -3.64 eV/atom. As for the crystal system: hexagonal.

***

The following is a DFT calculation (PBE) of a relaxed NaPrNO crystal.

a b c (Å): 4.851 4.043 7.376
angles (deg): 90.00 90.00 90.00
Positions (direct):
Na: 0.250 0.000 0.146
Na: 0.750 0.000 0.854
Pr: 0.250 0.500 0.691
Pr: 0.750 0.500 0.309
N: 0.250 0.500 0.362
N: 0.750 0.500 0.638
O: 0.250 0.000 0.837
O: 0.750 0.000 0.163

Summary:
As for the crystal system: orthorhombic. As for the offset from the most stable computed form: 0.0000 eV per atom.

***

The following is a DFT calculation (PBE) of a relaxed Re24Ni5 crystal.

a b c (Å): 8.235 8.235 8.235
angles (deg): 109.47 109.47 109.47
Positions (direct):
Re: 0.000 0.195 0.377
Re: 0.000 0.377 0.195
Re: 0.000 0.402 0.686
Re: 0.000 0.686 0.402
Re: 0.182 0.805 0.805
Re: 0.195 0.000 0.377
Re: 0.195 0.377 0.000
Re: 0.284 0.598 0.598
Re: 0.314 0.314 0.716
Re: 0.314 0.716 0.314
Re: 0.377 0.000 0.195
Re: 0.377 0.195 0.000
Re: 0.402 0.000 0.686
Re: 0.402 0.686 0.000
Re: 0.598 0.284 0.598
Re: 0.598 0.598 0.284
Re: 0.623 0.623 0.818
Re: 0.623 0.818 0.623
Re: 0.686 0.000 0.402
Re: 0.686 0.402 0.000
Re: 0.716 0.314 0.314
Re: 0.805 0.182 0.805
Re: 0.805 0.805 0.182
Re: 0.818 0.623 0.623
Ni: 0.000 0.000 0.000
Ni: 0.000 0.000 0.680
Ni: 0.000 0.680 0.000
Ni: 0.320 0.320 0.320
Ni: 0.680 0.000 0.000

Summary:
As for the crystal system: cubic. The energy relative to the elements comes out at 57.7 meV per atom.

***

The following is a DFT calculation (PBE) of a relaxed LuInFeCo crystal.

a b c (Å): 6.517 6.517 6.517
angles (deg): 90.00 90.00 90.00
Positions (direct):
Lu: 0.000 0.000 0.000
Lu: 0.000 0.500 0.500
Lu: 0.500 0.000 0.500
Lu: 0.500 0.500 0.000
In: 0.250 0.250 0.250
In: 0.250 0.750 0.750
In: 0.750 0.250 0.750
In: 0.750 0.750 0.250
Fe: 0.250 0.250 0.750
Fe: 0.250 0.750 0.250
Fe: 0.750 0.250 0.250
Fe: 0.750 0.750 0.750
Co: 0.000 0.000 0.500
Co: 0.000 0.500 0.000
Co: 0.500 0.000 0.000
Co: 0.500 0.500 0.500

Summary:
As for the crystal system: cubic. As for the offset from the most stable computed form: 0.1469 eV per atom.

***

The following is a DFT calculation (PBE) of a relaxed ZnHgTeO crystal.

a b c (Å): 3.788 3.788 11.391
angles (deg): 90.00 90.00 90.00
Positions (direct):
Zn: 0.250 0.750 0.000
Zn: 0.750 0.250 0.000
Hg: 0.250 0.250 0.402
Hg: 0.750 0.750 0.598
Te: 0.250 0.250 0.829
Te: 0.750 0.750 0.171
O: 0.250 0.250 0.603
O: 0.750 0.750 0.397

Summary:
As for the crystal system: tetragonal. As for the offset from the most stable computed form: 0.6286 eV per atom.

***

The following is a DFT calculation (PBE) of a relaxed TaTcNO crystal.

a b c (Å): 5.559 6.699 5.325
angles (deg): 90.00 90.00 90.00
Positions (direct):
Ta: 0.023 0.112 0.000
Ta: 0.477 0.112 0.500
Ta: 0.523 0.888 0.000
Ta: 0.977 0.888 0.500
Tc: 0.128 0.686 0.974
Tc: 0.372 0.686 0.474
Tc: 0.628 0.314 0.974
Tc: 0.872 0.314 0.474
N: 0.127 0.150 0.636
N: 0.373 0.150 0.136
N: 0.627 0.850 0.636
N: 0.873 0.850 0.136
O: 0.046 0.587 0.623
O: 0.454 0.587 0.123
O: 0.546 0.413 0.623
O: 0.954 0.413 0.123

Summary:
As for the crystal system: orthorhombic. As for the offset from the most stable computed form: 0.1897 eV per atom.

***

The following is a DFT calculation (PBE) of a relaxed HfScCSe crystal.

a b c (Å): 3.467 3.467 12.446
angles (deg): 90.00 90.00 120.00
Positions (direct):
Hf: 0.333 0.667 0.405
Hf: 0.667 0.333 0.595
Sc: 0.333 0.667 0.096
Sc: 0.667 0.333 0.904
C: 0.000 0.000 0.000
C: 0.000 0.000 0.500
Se: 0.333 0.667 0.747
Se: 0.667 0.333 0.253

Summary:
As for the crystal system: trigonal. As for the offset from the most stable computed form: 0.0104 eV per atom.

***

The following is a DFT calculation (PBE) of a relaxed NiW4AuC2 crystal.

a b c (Å): 3.071 3.071 13.158
angles (deg): 90.00 90.00 120.00
Positions (direct):
Ni: 0.000 0.000 0.000
W: 0.000 0.000 0.324
W: 0.000 0.000 0.676
W: 0.667 0.333 0.149
W: 0.667 0.333 0.851
Au: 0.667 0.333 0.500
C: 0.333 0.667 0.238
C: 0.333 0.667 0.762

Summary:
As for the total energy: -9.72 eV/atom. As for the crystal system: hexagonal.